[1]
BaTm2 | PBE | optimized geometry

Results
Size of the total moment, μB/f.u.: 4.00
Energy above the most stable polymorph in this dataset, meV/atom: 2122

abc: 11.1803 11.1803 11.1803
angles: 60.00 60.00 60.00
Fractional coordinates of all 6 atoms:
Tm1 0.3750 0.3750 0.8750
Tm2 0.3750 0.8750 0.3750
Tm3 0.3750 0.3750 0.3750
Tm4 0.8750 0.3750 0.3750
Ba1 0.2500 0.2500 0.2500
Ba2 0.5000 0.5000 0.5000


[2]
Ba3Au2 | PBE | optimized geometry

Results
Total energy, eV per atom: -3.056

abc: 8.8784 8.8784 4.7707
angles: 90.00 90.00 90.00
Fractional coordinates of all 10 atoms:
Ba1 0.0000 0.0000 0.0000
Ba2 0.1610 0.3390 0.5000
Ba3 0.5000 0.5000 0.0000
Ba4 0.8390 0.6610 0.5000
Ba5 0.6610 0.1610 0.5000
Ba6 0.3390 0.8390 0.5000
Au1 0.1296 0.6296 0.0000
Au2 0.3704 0.1296 0.0000
Au3 0.8704 0.3704 0.0000
Au4 0.6296 0.8704 0.0000


[3]
SmAsNO | PBE | optimized geometry

Results
Size of the total moment, μB/f.u.: 0.00
Energy above the most stable polymorph in this dataset, meV/atom: 4

abc: 7.0217 6.9027 5.1814
angles: 90.00 90.00 90.00
Fractional coordinates of all 16 atoms:
As1 0.6800 0.3690 0.0637
As2 0.3200 0.6310 0.5637
As3 0.8200 0.3690 0.5637
As4 0.1800 0.6310 0.0637
N1 0.6420 0.5221 0.7507
N2 0.8580 0.5221 0.2507
N3 0.3580 0.4779 0.2507
N4 0.1420 0.4779 0.7507
Sm1 0.0802 0.1726 0.9838
Sm2 0.5802 0.8274 0.9838
Sm3 0.9198 0.8274 0.4838
Sm4 0.4198 0.1726 0.4838
O1 0.1133 0.0857 0.4043
O2 0.3867 0.0857 0.9043
O3 0.6133 0.9143 0.4043
O4 0.8867 0.9143 0.9043


[4]
YHo2Sn4Au4 | PBE | optimized geometry

Results
Size of the total moment, μB/f.u.: 0.00
Total energy, eV per atom: -4.696

abc: 8.8476 8.8476 8.8476
angles: 150.22 131.50 57.95
Fractional coordinates of all 11 atoms:
Au1 0.0364 0.3312 0.7052
Au2 0.3740 0.6688 0.7052
Au3 0.6260 0.3312 0.2948
Au4 0.9636 0.6688 0.2948
Ho1 0.6290 0.1290 0.5000
Ho2 0.3710 0.8710 0.5000
Y1 0.0000 0.0000 0.0000
Sn1 0.7858 0.7858 0.0000
Sn2 0.6969 0.5000 0.1969
Sn3 0.2142 0.2142 0.0000
Sn4 0.3031 0.5000 0.8031


[5]
LiHf2B | PBE | optimized geometry

Results
Size of the total moment, μB/f.u.: 1.48
Total energy, eV per atom: -6.201

abc: 4.5191 4.5191 4.5191
angles: 60.00 60.00 60.00
Fractional coordinates of all 4 atoms:
Hf1 0.0000 0.0000 0.0000
Hf2 0.7500 0.7500 0.7500
Li1 0.2500 0.2500 0.2500
B1 0.5000 0.5000 0.5000


[6]
Er2NiAu | PBE | optimized geometry

Results
Size of the total moment, μB/f.u.: 0.00
Calculated formation energy, eV/atom: -0.678

abc: 4.4773 5.5043 7.0112
angles: 90.00 90.00 90.00
Fractional coordinates of all 8 atoms:
Er1 0.5000 0.1255 0.1795
Er2 0.0000 0.3953 0.8170
Er3 0.5000 0.8745 0.6795
Er4 0.0000 0.6047 0.3170
Au1 0.0000 0.1076 0.4638
Au2 0.0000 0.8924 0.9638
Ni1 0.5000 0.6066 0.0396
Ni2 0.5000 0.3934 0.5396


[7]
Zr3Sc2Al3 | PBE | optimized geometry

Results
Size of the total moment, μB/f.u.: 0.00
Energy above the most stable polymorph in this dataset, meV/atom: 159

abc: 4.9779 6.2466 6.2466
angles: 58.55 90.00 90.00
Fractional coordinates of all 8 atoms:
Al1 0.5000 0.1667 0.1667
Al2 0.0000 0.8214 0.3356
Al3 0.0000 0.3356 0.8214
Zr1 0.0000 0.8354 0.8354
Zr2 0.5000 0.6826 0.1610
Zr3 0.5000 0.1610 0.6826
Sc1 0.0000 0.3313 0.3313
Sc2 0.5000 0.6659 0.6659


[8]
NbAlFe | PBE | optimized geometry

Results
Size of the total moment, μB/f.u.: 0.00
Total energy, eV per atom: -7.562

abc: 6.1629 4.1151 6.9698
angles: 90.00 90.00 90.00
Fractional coordinates of all 12 atoms:
Al1 0.2624 0.7500 0.5991
Al2 0.2375 0.2500 0.0991
Al3 0.7375 0.2500 0.4009
Al4 0.7624 0.7500 0.9009
Fe1 0.8469 0.2500 0.0628
Fe2 0.3469 0.2500 0.4372
Fe3 0.1531 0.7500 0.9372
Fe4 0.6531 0.7500 0.5628
Nb1 0.5089 0.2500 0.7717
Nb2 0.4911 0.7500 0.2283
Nb3 0.0089 0.2500 0.7283
Nb4 0.9911 0.7500 0.2717